A | NbWCl2 | the Alexandria database | PBE | optimized geometry; space group = No. 122
1.0
-2.8716 2.8716 4.8320
2.8716 -2.8716 4.8320
2.8716 2.8716 -4.8320
Nb W Cl
2 2 4
Cartesian
0.0000 0.0000 0.0000
0.0000 2.8716 2.4160
2.8716 0.0000 2.4160
0.0000 0.0000 4.8320
1.4358 -1.3524 3.6240
1.5192 1.4358 1.2080
1.4358 4.2240 -1.2080
1.3524 1.4358 6.0400

***

B | NbWCl2 | the Alexandria database | PBE | optimized geometry; space group = No. 166
1.0
1.5088 0.8711 8.6270
-1.5088 0.8711 8.6270
0.0000 -1.7422 8.6270
Nb W Cl
1 1 2
Cartesian
0.0000 0.0000 0.0000
0.0000 0.0000 12.9405
0.0000 0.0000 10.5104
0.0000 0.0000 15.3706

***

C | NbWCl2 | the Alexandria database | PBE | optimized geometry; space group = No. 225
1.0
0.0000 3.1326 3.1326
3.1326 0.0000 3.1326
3.1326 3.1326 0.0000
Nb W Cl
1 1 2
Cartesian
0.0000 0.0000 0.0000
3.1326 3.1326 3.1326
1.5663 1.5663 1.5663
4.6989 4.6989 4.6989

***

B takes first place; second place is 869 meV per atom up.